Entry 1:
10
Lattice="-0.764 -4.097 -0.247 2.256 -0.209 -3.507 12.015 -2.718 7.890" Properties=species:S:1:pos:R:3 comment="CeUTe2O, optimized geometry, DFT PBE" energy_ev_per_atom=-7.37 raw_formation_energy_ev_per_atom=-1.679 total_magnetization_mub_per_fu=3.29 space_group="No. 129" pbc="T T T"
Ce 6.569 -3.621 4.441
Ce 6.191 -1.250 1.572
U 0.650 -2.282 0.554
U 12.111 -2.589 5.459
Te 9.498 -1.998 3.743
Te 2.667 -0.453 -0.743
Te 10.094 -4.418 6.755
Te 3.262 -2.873 2.269
O 6.007 -1.359 3.945
O 6.753 -3.512 2.068

***

Entry 2:
5
Lattice="5.490 0.000 0.000 0.000 5.490 0.000 0.000 0.000 3.300" Properties=species:S:1:pos:R:3 comment="SiTe2MoN, optimized geometry, DFT PBE" energy_ev_per_atom=-5.55 polymorph_energy_ev_per_atom=0.137 raw_formation_energy_ev_per_atom=0.621 total_magnetization_mub_per_fu=3.20 space_group="No. 123" pbc="T T T"
Mo 2.745 2.745 1.650
Te 0.000 2.745 0.000
Te 2.745 0.000 0.000
Si 0.000 0.000 0.000
N 0.000 0.000 1.650

***

Entry 3:
5
Lattice="4.395 0.000 0.000 0.000 4.395 0.000 0.000 0.000 4.395" Properties=species:S:1:pos:R:3 comment="Al3CoPd, optimized geometry, DFT PBE" e_form_ev_per_atom=-0.0937 energy_ev_per_atom=-4.80 polymorph_energy_ev_per_atom=0.000 total_magnetization_mub_per_fu=0.00 space_group="No. 221" pbc="T T T"
Co 0.000 0.000 0.000
Al 0.000 2.197 0.000
Al 0.000 0.000 2.197
Al 2.197 0.000 0.000
Pd 2.197 2.197 2.197

***

Entry 4:
3
Lattice="-1.254 2.201 3.306 1.254 -2.201 3.306 1.254 2.201 -3.306" Properties=species:S:1:pos:R:3 comment="Cr2Si, optimized geometry, DFT PBE" energy_ev_per_atom=-8.25 raw_formation_energy_ev_per_atom=-0.024 total_magnetization_mub_per_fu=0.00 space_group="No. 71" pbc="T T T"
Cr 1.254 0.000 2.164
Cr 0.000 2.201 1.142
Si 0.000 0.000 0.000